Entry 1:
# PBE TbYAu2, relaxed
# ΔE_f ... -0.85 eV per atom
# Polymorph energy (0 for the lowest one) ... 30 meV per atom
# D(E_F) ... 10.0 states/eV per cell
data_TbYAu2
_space_group_name_H-M_alt 'F m -3 m'
_space_group_IT_number 225
_space_group_name_Hall '-F 4 2 3'
_cell_length_a 7.2262
_cell_length_b 7.2262
_cell_length_c 7.2262
_cell_angle_alpha 90.00
_cell_angle_beta 90.00
_cell_angle_gamma 90.00
loop_
_atom_site_label
_atom_site_fract_x
_atom_site_fract_y
_atom_site_fract_z
Tb1 0.0000 0.0000 0.0000
Y1 0.0000 0.0000 0.5000
Au1 0.2500 0.2500 0.2500

---

Entry 2:
# PBE TbYZnAu, relaxed
# ΔE_f ... -0.60 eV per atom
# D(E_F) ... 14.1 states/eV per cell
data_TbYZnAu
_space_group_name_H-M_alt 'F -4 3 m'
_space_group_IT_number 216
_space_group_name_Hall 'F -4 2 3'
_cell_length_a 7.2008
_cell_length_b 7.2008
_cell_length_c 7.2008
_cell_angle_alpha 90.00
_cell_angle_beta 90.00
_cell_angle_gamma 90.00
loop_
_atom_site_label
_atom_site_fract_x
_atom_site_fract_y
_atom_site_fract_z
Tb1 0.0000 0.0000 0.0000
Y1 0.0000 0.0000 0.5000
Zn1 0.2500 0.2500 0.7500
Au1 0.2500 0.2500 0.2500

---

Entry 3:
# PBE TbZn2Au6, relaxed
# ΔE_f ... -0.29 eV per atom
# D(E_F) ... 4.6 states/eV per cell
data_TbZn2Au6
_space_group_name_H-M_alt 'P 6/m m m'
_space_group_IT_number 191
_space_group_name_Hall '-P 6 2'
_cell_length_a 5.5830
_cell_length_b 5.5830
_cell_length_c 7.2502
_cell_angle_alpha 90.00
_cell_angle_beta 90.00
_cell_angle_gamma 120.00
loop_
_atom_site_label
_atom_site_fract_x
_atom_site_fract_y
_atom_site_fract_z
Tb1 0.0000 0.0000 0.0000
Zn1 0.3333 0.6667 0.5000
Au1 0.0000 0.5000 0.2033

---

Entry 4:
# PBE Tb3Zn2Au3, relaxed
# ΔE_f ... -0.63 eV per atom
# D(E_F) ... 8.6 states/eV per cell
data_Tb3Zn2Au3
_space_group_name_H-M_alt 'P 63/m c m'
_space_group_IT_number 193
_space_group_name_Hall '-P 6c 2'
_cell_length_a 8.5658
_cell_length_b 8.5658
_cell_length_c 5.6627
_cell_angle_alpha 90.00
_cell_angle_beta 90.00
_cell_angle_gamma 120.00
loop_
_atom_site_label
_atom_site_fract_x
_atom_site_fract_y
_atom_site_fract_z
Tb1 0.0000 0.2760 0.2500
Zn1 0.3333 0.6667 0.0000
Au1 0.0000 0.3852 0.7500

---

Entry 5:
# PBE Tb2Zn3Au5, relaxed
# ΔE_f ... -0.55 eV per atom
# Polymorph energy (0 for the lowest one) ... 0 meV per atom
# D(E_F) ... 18.5 states/eV per cell
data_Tb2Zn3Au5
_space_group_name_H-M_alt 'C m c 21'
_space_group_IT_number 36
_cell_length_a 4.4056
_cell_length_b 24.6010
_cell_length_c 7.1743
_cell_angle_alpha 90.00
_cell_angle_beta 90.00
_cell_angle_gamma 90.00
loop_
_space_group_symop_operation_xyz
'x,y,z'
'-x,-y,z+1/2'
'-x,y,z'
'x,-y,z+1/2'
'x+1/2,y+1/2,z'
'-x+1/2,-y+1/2,z+1/2'
'-x+1/2,y+1/2,z'
'x+1/2,-y+1/2,z+1/2'
loop_
_atom_site_label
_atom_site_fract_x
_atom_site_fract_y
_atom_site_fract_z
Tb1 0.0000 0.0245 0.0000
Tb2 0.0000 0.3210 0.0848
Zn1 0.0000 0.1233 0.2601
Zn2 0.0000 0.2835 0.6436
Zn3 0.0000 0.4544 0.2055
Au1 0.0000 0.0974 0.6319
Au2 0.0000 0.1940 0.9023
Au3 0.0000 0.2250 0.3431
Au4 0.0000 0.3832 0.4931
Au5 0.0000 0.4454 0.8300

---

Entry 6:
# PBE TbZn3Au2, relaxed
# ΔE_f ... -0.44 eV per atom
# D(E_F) ... 10.1 states/eV per cell
data_TbZn3Au2
_space_group_name_H-M_alt 'C 1 2/m 1'
_space_group_IT_number 12
_cell_length_a 14.1002
_cell_length_b 4.2195
_cell_length_c 8.5841
_cell_angle_alpha 90.00
_cell_angle_beta 117.83
_cell_angle_gamma 90.00
loop_
_space_group_symop_operation_xyz
'x,y,z'
'-x,-y,-z'
'-x,y,-z'
'x,-y,z'
'x+1/2,y+1/2,z'
'-x+1/2,-y+1/2,-z'
'-x+1/2,y+1/2,-z'
'x+1/2,-y+1/2,z'
loop_
_atom_site_label
_atom_site_fract_x
_atom_site_fract_y
_atom_site_fract_z
Tb1 0.1376 0.0000 0.0157
Zn1 0.0535 0.0000 0.3936
Zn2 0.0934 0.5000 0.6943
Zn3 0.2068 0.5000 0.5226
Au1 0.0482 0.5000 0.1865
Au2 0.2192 0.0000 0.7382

---

Entry 7:
# PBE TbZn12Au4, relaxed
# ΔE_f ... 0.02 eV per atom
# D(E_F) ... 16.6 states/eV per cell
data_TbZn12Au4
_space_group_name_H-M_alt 'I m -3'
_space_group_IT_number 204
_space_group_name_Hall '-I 2 2 3'
_cell_length_a 8.8432
_cell_length_b 8.8432
_cell_length_c 8.8432
_cell_angle_alpha 90.00
_cell_angle_beta 90.00
_cell_angle_gamma 90.00
loop_
_atom_site_label
_atom_site_fract_x
_atom_site_fract_y
_atom_site_fract_z
Tb1 0.0000 0.0000 0.0000
Zn1 0.0000 0.3554 0.1455
Au1 0.2500 0.2500 0.2500

---

Entry 8:
# PBE Tb3Zn6Au5, relaxed
# ΔE_f ... -0.56 eV per atom
# D(E_F) ... 12.8 states/eV per cell
data_Tb3Zn6Au5
_space_group_name_H-M_alt 'I m m m'
_space_group_IT_number 71
_space_group_name_Hall '-I 2 2'
_cell_length_a 4.3775
_cell_length_b 9.6495
_cell_length_c 12.7609
_cell_angle_alpha 90.00
_cell_angle_beta 90.00
_cell_angle_gamma 90.00
loop_
_atom_site_label
_atom_site_fract_x
_atom_site_fract_y
_atom_site_fract_z
Tb1 0.0000 0.0000 0.0000
Tb2 0.0000 0.0000 0.2903
Zn1 0.0000 0.1701 0.5000
Zn2 0.0000 0.2893 0.1374
Au1 0.0000 0.3558 0.3474
Au2 0.0000 0.5000 0.0000

---

Entry 9:
# PBE TbZn4Au8, relaxed
# ΔE_f ... -0.07 eV per atom
# Polymorph energy (0 for the lowest one) ... 275 meV per atom
# D(E_F) ... 7.7 states/eV per cell
data_TbZn4Au8
_space_group_name_H-M_alt 'R -3 m'
_space_group_IT_number 166
_space_group_name_Hall '-R 3 2"'
_cell_length_a 7.1035
_cell_length_b 7.1035
_cell_length_c 18.5318
_cell_angle_alpha 90.00
_cell_angle_beta 90.00
_cell_angle_gamma 120.00
loop_
_atom_site_label
_atom_site_fract_x
_atom_site_fract_y
_atom_site_fract_z
Tb1 0.0000 0.0000 0.0000
Zn1 0.0000 0.0000 0.5000
Zn2 0.0000 0.5000 0.0000
Au1 0.0000 0.0000 0.2514
Au2 0.0599 0.5300 0.7898

---

Entry 10:
# PBE Tb2Zn15Au2, relaxed
# ΔE_f ... -0.28 eV per atom
# D(E_F) ... 18.6 states/eV per cell
data_Tb2Zn15Au2
_space_group_name_H-M_alt 'R -3 m'
_space_group_IT_number 166
_space_group_name_Hall '-R 3 2"'
_cell_length_a 9.0512
_cell_length_b 9.0512
_cell_length_c 13.2445
_cell_angle_alpha 90.00
_cell_angle_beta 90.00
_cell_angle_gamma 120.00
loop_
_atom_site_label
_atom_site_fract_x
_atom_site_fract_y
_atom_site_fract_z
Tb1 0.0000 0.0000 0.1602
Zn1 0.0000 0.2964 0.5000
Zn2 0.0000 0.5000 0.0000
Zn3 0.0116 0.5058 0.6524
Au1 0.0000 0.0000 0.3893

---

Entry 11:
# PBE TbZn4Au8, relaxed
# ΔE_f ... -0.35 eV per atom
# Polymorph energy (0 for the lowest one) ... 0 meV per atom
# D(E_F) ... 7.4 states/eV per cell
data_TbZn4Au8
_space_group_name_H-M_alt 'I 4/m m m'
_space_group_IT_number 139
_space_group_name_Hall '-I 4 2'
_cell_length_a 9.2817
_cell_length_b 9.2817
_cell_length_c 5.4253
_cell_angle_alpha 90.00
_cell_angle_beta 90.00
_cell_angle_gamma 90.00
loop_
_atom_site_label
_atom_site_fract_x
_atom_site_fract_y
_atom_site_fract_z
Tb1 0.0000 0.0000 0.0000
Zn1 0.2500 0.2500 0.2500
Au1 0.0000 0.2170 0.5000
Au2 0.0000 0.3317 0.0000

---

Entry 12:
# PBE TbZn3Au10, relaxed
# ΔE_f ... -0.17 eV per atom
# D(E_F) ... 47.7 states/eV per cell
data_TbZn3Au10
_space_group_name_H-M_alt 'F m -3 m'
_space_group_IT_number 225
_space_group_name_Hall '-F 4 2 3'
_cell_length_a 12.9581
_cell_length_b 12.9581
_cell_length_c 12.9581
_cell_angle_alpha 90.00
_cell_angle_beta 90.00
_cell_angle_gamma 90.00
loop_
_atom_site_label
_atom_site_fract_x
_atom_site_fract_y
_atom_site_fract_z
Tb1 0.2500 0.2500 0.2500
Zn1 0.0000 0.0000 0.2305
Au1 0.0000 0.1725 0.3275
Au2 0.1199 0.1199 0.1199

---

| no. | raw total energy (eV/atom) |
| --- | --- |
| 1 | -5.26 |
| 2 | -4.51 |
| 3 | -3.28 |
| 4 | -3.91 |
| 5 | -3.50 |
| 6 | -2.94 |
| 7 | -1.92 |
| 8 | -3.26 |
| 9 | -2.84 |
| 10 | -2.12 |
| 11 | -3.11 |
| 12 | -3.11 |